Computed, not measured: a geometry-optimized PrNd2Pb3 structure at the PBE level of DFT.

a b c (Å): 9.695 14.815 5.966
angles (deg): 90.00 116.13 90.00
Space group C2/c (No. 15)
One atom of each set of equivalent atoms:
Pr 0.000 0.083 0.250
Nd 0.000 0.249 0.750
Nd 0.000 0.416 0.250
Pb 0.248 0.416 0.000
Pb 0.250 0.250 0.500

Results
total energy = -4.733 eV/atom
energy relative to the lowest polymorph listed for this composition = 0.0314 eV/atom
energy of formation from the pure elements = -0.493 eV per atom
M_tot = 0.00 μB per atom